The following is a PBE calculation of a geometry-optimized VTc2Ag structure, from Alexandria.

Output
DFT formation energy   0.449 eV/atom
Symmetry   No. 225
V   60.0 Å³ per cell

a b c (Å): 4.394 4.394 4.394
angles (deg): 60.00 60.00 60.00
Fractional coordinates of all 4 atoms:
Tc1 0.250 0.250 0.250
Tc2 0.750 0.750 0.750
Ag1 0.500 0.500 0.500
V1 0.000 0.000 0.000